# MnFe2P | the Alexandria database | GGA-PBE | optimized geometry
# - Space group: R3m, No. 160
# - Energy of formation: 7 meV per atom
data_MnFe2P
_chemical_formula_sum 'Mn3 Fe6 P3'
_space_group_name_H-M_alt 'P 1'
_space_group_IT_number 1
_cell_length_a 2.597
_cell_length_b 2.597
_cell_length_c 22.691
_cell_angle_alpha 90.00
_cell_angle_beta 90.00
_cell_angle_gamma 120.00
loop_
_space_group_symop_operation_xyz
'x,y,z'
loop_
_atom_site_label
_atom_site_fract_x
_atom_site_fract_y
_atom_site_fract_z
_atom_site_occupancy
Mn1 0.000 0.000 0.000 1
Mn2 0.333 0.667 0.667 1
Mn3 0.667 0.333 0.333 1
Fe1 0.000 0.000 0.246 1
Fe2 0.000 0.000 0.491 1
Fe3 0.333 0.667 0.158 1
Fe4 0.333 0.667 0.913 1
Fe5 0.667 0.333 0.579 1
Fe6 0.667 0.333 0.824 1
P1 0.000 0.000 0.749 1
P2 0.333 0.667 0.415 1
P3 0.667 0.333 0.082 1


# MnFeP6 | the Alexandria database | GGA-PBE | optimized geometry
# - Space group: C2/m, No. 12
# - Energy of formation: -310 meV per atom
data_MnFeP6
_chemical_formula_sum 'Mn2 Fe2 P12'
_space_group_name_H-M_alt 'P 1'
_space_group_IT_number 1
_cell_length_a 6.787
_cell_length_b 6.787
_cell_length_c 7.897
_cell_angle_alpha 124.96
_cell_angle_beta 124.96
_cell_angle_gamma 70.47
loop_
_space_group_symop_operation_xyz
'x,y,z'
loop_
_atom_site_label
_atom_site_fract_x
_atom_site_fract_y
_atom_site_fract_z
_atom_site_occupancy
Mn1 0.000 0.500 0.000 1
Mn2 0.500 0.000 0.000 1
Fe1 0.000 0.500 0.500 1
Fe2 0.500 0.000 0.500 1
P1 0.003 0.290 0.637 1
P2 0.137 0.842 0.847 1
P3 0.158 0.863 0.153 1
P4 0.290 0.003 0.637 1
P5 0.354 0.354 0.511 1
P6 0.360 0.360 0.224 1
P7 0.640 0.640 0.776 1
P8 0.646 0.646 0.489 1
P9 0.710 0.997 0.363 1
P10 0.842 0.137 0.847 1
P11 0.863 0.158 0.153 1
P12 0.997 0.710 0.363 1


# Mn2FeP | the Alexandria database | GGA-PBE | optimized geometry
# - Space group: P2/m, No. 10
# - Energy of formation: -67 meV per atom
data_Mn2FeP
_chemical_formula_sum 'Mn2 Fe1 P1'
_space_group_name_H-M_alt 'P 1'
_space_group_IT_number 1
_cell_length_a 4.130
_cell_length_b 2.613
_cell_length_c 4.379
_cell_angle_alpha 90.00
_cell_angle_beta 111.33
_cell_angle_gamma 90.00
loop_
_space_group_symop_operation_xyz
'x,y,z'
loop_
_atom_site_label
_atom_site_fract_x
_atom_site_fract_y
_atom_site_fract_z
_atom_site_occupancy
Mn1 0.000 0.000 0.000 1
Mn2 0.500 0.500 0.000 1
Fe1 0.000 0.500 0.500 1
P1 0.500 0.000 0.500 1


# MnFeP | the Alexandria database | GGA-PBE | optimized geometry
# - Space group: P3m1, No. 156
# - Energy of formation: -58 meV per atom
data_MnFeP
_chemical_formula_sum 'Mn1 Fe1 P1'
_space_group_name_H-M_alt 'P 1'
_space_group_IT_number 1
_cell_length_a 2.601
_cell_length_b 2.601
_cell_length_c 5.503
_cell_angle_alpha 90.00
_cell_angle_beta 90.00
_cell_angle_gamma 120.00
loop_
_space_group_symop_operation_xyz
'x,y,z'
loop_
_atom_site_label
_atom_site_fract_x
_atom_site_fract_y
_atom_site_fract_z
_atom_site_occupancy
Mn1 0.000 0.000 0.000 1
Fe1 0.333 0.667 0.644 1
P1 0.667 0.333 0.327 1


# MnFe2P | the Alexandria database | GGA-PBE | optimized geometry
# - Space group: Pmmm, No. 47
# - Energy of formation: -57 meV per atom
data_MnFe2P
_chemical_formula_sum 'Mn1 Fe2 P1'
_space_group_name_H-M_alt 'P 1'
_space_group_IT_number 1
_cell_length_a 2.617
_cell_length_b 3.568
_cell_length_c 4.709
_cell_angle_alpha 90.00
_cell_angle_beta 90.00
_cell_angle_gamma 90.00
loop_
_space_group_symop_operation_xyz
'x,y,z'
loop_
_atom_site_label
_atom_site_fract_x
_atom_site_fract_y
_atom_site_fract_z
_atom_site_occupancy
Mn1 0.000 0.000 0.000 1
Fe1 0.500 0.500 0.254 1
Fe2 0.500 0.500 0.746 1
P1 0.000 0.000 0.500 1


# Mn2FeP | the Alexandria database | GGA-PBE | optimized geometry
# - Space group: I-42d, No. 122
# - Energy of formation: 701 meV per atom
data_Mn2FeP
_chemical_formula_sum 'Mn8 Fe4 P4'
_space_group_name_H-M_alt 'P 1'
_space_group_IT_number 1
_cell_length_a 5.096
_cell_length_b 5.096
_cell_length_c 9.479
_cell_angle_alpha 90.00
_cell_angle_beta 90.00
_cell_angle_gamma 90.00
loop_
_space_group_symop_operation_xyz
'x,y,z'
loop_
_atom_site_label
_atom_site_fract_x
_atom_site_fract_y
_atom_site_fract_z
_atom_site_occupancy
Mn1 0.240 0.250 0.125 1
Mn2 0.250 0.740 0.375 1
Mn3 0.250 0.760 0.875 1
Mn4 0.260 0.250 0.625 1
Mn5 0.740 0.750 0.625 1
Mn6 0.750 0.240 0.875 1
Mn7 0.750 0.260 0.375 1
Mn8 0.760 0.750 0.125 1
Fe1 0.000 0.000 0.000 1
Fe2 0.000 0.500 0.250 1
Fe3 0.500 0.000 0.750 1
Fe4 0.500 0.500 0.500 1
P1 0.000 0.000 0.500 1
P2 0.000 0.500 0.750 1
P3 0.500 0.000 0.250 1
P4 0.500 0.500 0.000 1


# Mn2FeP | the Alexandria database | GGA-PBE | optimized geometry
# - Space group: Pmm2, No. 25
# - Energy of formation: -112 meV per atom
data_Mn2FeP
_chemical_formula_sum 'Mn2 Fe1 P1'
_space_group_name_H-M_alt 'P 1'
_space_group_IT_number 1
_cell_length_a 2.607
_cell_length_b 3.580
_cell_length_c 4.784
_cell_angle_alpha 90.00
_cell_angle_beta 90.00
_cell_angle_gamma 90.00
loop_
_space_group_symop_operation_xyz
'x,y,z'
loop_
_atom_site_label
_atom_site_fract_x
_atom_site_fract_y
_atom_site_fract_z
_atom_site_occupancy
Mn1 0.000 0.000 0.000 1
Mn2 0.500 0.500 0.228 1
Fe1 0.500 0.500 0.718 1
P1 0.000 0.000 0.501 1


# MnFe2P | the Alexandria database | GGA-PBE | optimized geometry
# - Space group: P4/mmm, No. 123
# - Energy of formation: -129 meV per atom
data_MnFe2P
_chemical_formula_sum 'Mn1 Fe2 P1'
_space_group_name_H-M_alt 'P 1'
_space_group_IT_number 1
_cell_length_a 2.814
_cell_length_b 2.814
_cell_length_c 5.543
_cell_angle_alpha 90.00
_cell_angle_beta 90.00
_cell_angle_gamma 90.00
loop_
_space_group_symop_operation_xyz
'x,y,z'
loop_
_atom_site_label
_atom_site_fract_x
_atom_site_fract_y
_atom_site_fract_z
_atom_site_occupancy
Mn1 0.000 0.000 0.000 1
Fe1 0.500 0.500 0.274 1
Fe2 0.500 0.500 0.726 1
P1 0.000 0.000 0.500 1


| no. | VASP energy (eV per atom) |
| --- | --- |
| 1 | -7.869 |
| 2 | -6.571 |
| 3 | -8.120 |
| 4 | -7.739 |
| 5 | -7.934 |
| 6 | -7.352 |
| 7 | -8.165 |
| 8 | -8.005 |